1.
! GGA-PBE Pr4TlIn2Hg, relaxed; values from VASP
! Crystal system: trigonal
! Energy of formation: -456 meV/atom
&SYSTEM
  ibrav = 0, nat = 8, ntyp = 4
/
ATOMIC_SPECIES
Pr 140.91 Pr.upf
Tl 204.38 Tl.upf
Hg 200.59 Hg.upf
In 114.82 In.upf
ATOMIC_POSITIONS angstrom
Pr -5.5759 -8.0412 -2.5926
Pr -4.0353 -4.9720 -0.7242
Pr -0.5855 -4.2350 -4.8813
Pr -2.1260 -7.3042 -6.7497
Tl 0.0000 0.0000 0.0000
Hg -3.0807 -6.1381 -3.7369
In -1.5412 -3.0697 -1.8681
In -4.6202 -9.2065 -5.6058
CELL_PARAMETERS angstrom
-1.6117 -1.0071 -5.1890
2.0533 -4.3386 -2.7382
-6.6030 -6.9304 0.4534

---

2.
! GGA-PBE MgAlAg2F6, relaxed; values from VASP
! Raw formation energy: -55.49 kcal/mol of atoms
! Crystal system: tetragonal
&SYSTEM
  ibrav = 0, nat = 20, ntyp = 4
/
ATOMIC_SPECIES
Al 26.98 Al.upf
F 19.00 F.upf
Ag 107.87 Ag.upf
Mg 24.30 Mg.upf
ATOMIC_POSITIONS angstrom
Al 1.3849 -0.3049 -2.4165
Al -3.1912 -3.3894 -1.4013
F -2.8805 0.5978 -3.4440
F -0.8116 -5.8293 -6.2268
F -1.5756 0.3107 -5.7229
F -1.4233 -3.7682 -1.8712
F 0.9948 -2.1351 -2.4092
F -2.1893 -3.6203 -5.7643
F -0.7321 -7.9863 -4.1915
F 0.0400 -4.0902 -4.4263
F -4.6074 -5.2534 -5.2263
F -2.0370 -7.6992 -1.9126
F -3.6526 -3.2983 -3.2092
F -2.8010 -1.5592 -1.4087
Ag -0.4135 -1.9425 0.0081
Ag -3.1991 -5.4460 -7.6436
Ag -2.2198 -5.6367 -3.8096
Ag -1.3928 -1.7518 -3.8259
Mg 0.5578 -4.1913 -2.4002
Mg -2.3641 0.4971 -1.4176
CELL_PARAMETERS angstrom
-4.7281 0.9941 -2.8351
2.7698 -0.6097 -4.8329
-1.6543 -7.7729 0.0326

---

3.
! GGA-PBE LiSb3W, relaxed; values from VASP
! Raw formation energy: 26.24 kcal/mol of atoms
! Offset from the most stable computed form: 3.15 eV per formula unit
! Crystal system: cubic
&SYSTEM
  ibrav = 0, nat = 5, ntyp = 3
/
ATOMIC_SPECIES
Sb 121.76 Sb.upf
W 183.84 W.upf
Li 6.94 Li.upf
ATOMIC_POSITIONS angstrom
Sb -0.3110 2.3887 0.4351
Sb 0.7798 -0.3171 2.2985
Sb -2.2993 -0.4306 0.7207
W -1.8305 1.6409 3.4543
Li 0.0000 0.0000 0.0000
CELL_PARAMETERS angstrom
-4.5987 -0.8612 1.4414
1.5596 -0.6343 4.5970
-0.6219 4.7773 0.8702